A relaxed structure of Rb2WBr6F, computed with PBE+U.

Structure (extended XYZ):
```
10
Lattice="-0.6132 5.3738 5.7244 -7.6480 0.8903 -1.6550 -5.3067 -0.6338 5.4440" Properties=species:S:1:pos:R:3 pbc="T T T"
Br -4.7381 1.1866 3.7959
Br -8.8297 4.4436 5.7175
Br -2.2424 4.3354 4.0154
Br -6.0187 1.9286 0.0541
Br -1.9133 1.4507 0.9425
Br -6.3479 4.8133 3.1270
F -4.1306 3.1320 2.0347
Rb -8.5426 1.6942 2.9119
Rb -5.0252 3.9360 6.6016
W 0.0000 0.0000 0.0000
```

M_tot   1.0 μB per formula unit
Calculated total energy   -3.168 eV per atom